[1]
Material: La3Re
Method: DFT, PBE
State: optimized geometry

Geometry as CIF:
```
data_La3Re
_cell_length_a 3.5498
_cell_length_b 3.5498
_cell_length_c 9.7234
_cell_angle_alpha 90.00
_cell_angle_beta 90.00
_cell_angle_gamma 90.00
_space_group_name_H-M_alt 'P 1'
_space_group_IT_number 1
loop_
_space_group_symop_operation_xyz
'x,y,z'
loop_
_atom_site_label
_atom_site_type_symbol
_atom_site_fract_x
_atom_site_fract_y
_atom_site_fract_z
La1 La 0.0000 0.0000 0.9303
La2 La 0.0000 0.0000 0.5697
La3 La 0.5000 0.5000 0.2500
Re1 Re 0.5000 0.5000 0.7500
```

Values from the calculation:
Fermi-level density of states   5.0 states/eV/cell
E_form   25 kJ per mole of atoms
Symmetry   P4/mmm

---

[2]
Material: LaRe3
Method: DFT, PBE
State: optimized geometry

Geometry as CIF:
```
data_LaRe3
_cell_length_a 3.0673
_cell_length_b 4.9817
_cell_length_c 5.8295
_cell_angle_alpha 105.85
_cell_angle_beta 90.00
_cell_angle_gamma 107.93
_space_group_name_H-M_alt 'P 1'
_space_group_IT_number 1
loop_
_space_group_symop_operation_xyz
'x,y,z'
loop_
_atom_site_label
_atom_site_type_symbol
_atom_site_fract_x
_atom_site_fract_y
_atom_site_fract_z
La1 La 0.0000 0.0000 0.0000
Re1 Re 0.7768 0.5535 0.3398
Re2 Re 0.5000 0.0000 0.5000
Re3 Re 0.2232 0.4465 0.6602
```

Values from the calculation:
Fermi-level density of states   3.3 states/eV/cell
E_form   51 kJ per mole of atoms
Symmetry   C2/m

---

[3]
Material: La2Re3
Method: DFT, PBE
State: optimized geometry

Geometry as CIF:
```
data_La2Re3
_cell_length_a 6.3131
_cell_length_b 6.3131
_cell_length_c 6.3131
_cell_angle_alpha 44.87
_cell_angle_beta 44.87
_cell_angle_gamma 44.87
_space_group_name_H-M_alt 'P 1'
_space_group_IT_number 1
loop_
_space_group_symop_operation_xyz
'x,y,z'
loop_
_atom_site_label
_atom_site_type_symbol
_atom_site_fract_x
_atom_site_fract_y
_atom_site_fract_z
La1 La 0.3967 0.3967 0.3967
La2 La 0.6033 0.6033 0.6033
Re1 Re 0.8495 0.8495 0.8495
Re2 Re 0.0000 0.0000 0.0000
Re3 Re 0.1505 0.1505 0.1505
```

Values from the calculation:
Fermi-level density of states   4.9 states/eV/cell
E_form   44 kJ per mole of atoms
Symmetry   R-3m

---

E_form of number 2 (LaRe3)? 51 kJ per mole of atoms

---

What did the first record say?
Material: La3Re
Method: DFT, PBE
State: optimized geometry

Geometry as CIF:
```
data_La3Re
_cell_length_a 3.5498
_cell_length_b 3.5498
_cell_length_c 9.7234
_cell_angle_alpha 90.00
_cell_angle_beta 90.00
_cell_angle_gamma 90.00
_space_group_name_H-M_alt 'P 1'
_space_group_IT_number 1
loop_
_space_group_symop_operation_xyz
'x,y,z'
loop_
_atom_site_label
_atom_site_type_symbol
_atom_site_fract_x
_atom_site_fract_y
_atom_site_fract_z
La1 La 0.0000 0.0000 0.9303
La2 La 0.0000 0.0000 0.5697
La3 La 0.5000 0.5000 0.2500
Re1 Re 0.5000 0.5000 0.7500
```

Values from the calculation:
Fermi-level density of states   5.0 states/eV/cell
E_form   25 kJ per mole of atoms
Symmetry   P4/mmm